Here is a geometry-optimized La2YAsH structure from Alexandria via LeMat-Bulk. Energies are from PBE.

Unit cell a=5.9501 b=5.9501 c=5.2253 alpha=90.00 beta=90.00 gamma=90.00
Last column: nearest neighbours and their distance in Å.
Space group P4/mmm (No. 123)
One atom of each set of equivalent atoms:
La  0.0000  0.5000  0.0000  2 Y 2.98
Y  0.0000  0.0000  0.0000  2 As 2.61
As  0.0000  0.0000  0.5000  2 Y 2.61
H  0.5000  0.5000  0.5000  8 La 3.96, 4 As 4.21

## Properties
Calculated total energy, eV per atom: -4.23
Total magnetic moment, μB/atom: 0.014